Entry 1:
Computed, not measured: a relaxed structure of HoBi3Te6 at the GGA-PBE level of DFT.

Values from the calculation:
ΔE_f (raw)   -4.84 eV/f.u.
Final energy   -0.2934 Ry/atom

abc: 13.1036 4.3697 13.2273
angles: 90.00 109.71 90.00
Closest atoms and distances in Å follow each position.
Sites, in units of the cell vectors:
Ho (0.1918, 0.2500, 0.0406)  8 Te 3.15-3.29
Ho (0.8082, 0.7500, 0.9594)  8 Te 3.15-3.29
Bi (0.0344, 0.7500, 0.2976)  6 Te 3.01-3.33
Bi (0.3391, 0.2500, 0.4383)  6 Te 3.03-3.37
Bi (0.4009, 0.7500, 0.8513)  3 Te 3.00-3.01
Bi (0.5991, 0.2500, 0.1487)  3 Te 3.00-3.01
Bi (0.6609, 0.7500, 0.5617)  6 Te 3.03-3.37
Bi (0.9656, 0.2500, 0.7024)  6 Te 3.01-3.33
Te (0.0312, 0.7500, 0.9023)  3 Ho 3.15-3.25, 2 Bi 3.31
Te (0.1179, 0.2500, 0.4693)  3 Bi 3.06-3.07
Te (0.2346, 0.2500, 0.8111)  3 Bi 3.00-3.33, 1 Ho 3.27
Te (0.2350, 0.7500, 0.2355)  1 Bi 3.01, 2 Ho 3.28
Te (0.3880, 0.7500, 0.0739)  1 Bi 3.01, 2 Ho 3.29
Te (0.4270, 0.7500, 0.6039)  3 Bi 3.03-3.29
Te (0.5730, 0.2500, 0.3961)  3 Bi 3.03-3.29
Te (0.6120, 0.2500, 0.9261)  1 Bi 3.01, 2 Ho 3.29
Te (0.7650, 0.2500, 0.7645)  1 Bi 3.01, 2 Ho 3.28
Te (0.7654, 0.7500, 0.1889)  3 Bi 3.00-3.33, 1 Ho 3.27
Te (0.8821, 0.7500, 0.5307)  3 Bi 3.06-3.07
Te (0.9688, 0.2500, 0.0977)  3 Ho 3.15-3.25, 2 Bi 3.31


Entry 2:
Computed, not measured: a relaxed structure of Ho6BiTe at the GGA-PBE level of DFT.

Values from the calculation:
ΔE_f (raw)   -3.53 eV/f.u.
Final energy   -0.3493 Ry/atom

abc: 5.5799 5.5799 15.1048
angles: 90.00 90.00 90.00
Closest atoms and distances in Å follow each position.
Sites, in units of the cell vectors:
Ho (0.0000, 0.0000, 0.2481)  8 Ho 3.44-3.47, 1 Bi 3.75, 1 Te 3.80
Ho (0.0000, 0.0000, 0.7519)  8 Ho 3.44-3.47, 1 Bi 3.75, 1 Te 3.80
Ho (0.0000, 0.5000, 0.1153)  2 Bi 3.29, 2 Te 3.29, 5 Ho 3.44-3.48
Ho (0.0000, 0.5000, 0.3847)  2 Bi 3.29, 2 Te 3.29, 5 Ho 3.44-3.48
Ho (0.0000, 0.5000, 0.6153)  2 Bi 3.29, 2 Te 3.29, 5 Ho 3.44-3.48
Ho (0.0000, 0.5000, 0.8847)  2 Bi 3.29, 2 Te 3.29, 5 Ho 3.44-3.48
Ho (0.5000, 0.0000, 0.1153)  2 Bi 3.29, 2 Te 3.29, 5 Ho 3.44-3.48
Ho (0.5000, 0.0000, 0.3847)  2 Bi 3.29, 2 Te 3.29, 5 Ho 3.44-3.48
Ho (0.5000, 0.0000, 0.6153)  2 Bi 3.29, 2 Te 3.29, 5 Ho 3.44-3.48
Ho (0.5000, 0.0000, 0.8847)  2 Bi 3.29, 2 Te 3.29, 5 Ho 3.44-3.48
Ho (0.5000, 0.5000, 0.2519)  8 Ho 3.44-3.47, 1 Bi 3.75, 1 Te 3.80
Ho (0.5000, 0.5000, 0.7481)  8 Ho 3.44-3.47, 1 Bi 3.75, 1 Te 3.80
Bi (0.0000, 0.0000, 0.0000)  8 Ho 3.29
Bi (0.5000, 0.5000, 0.5000)  8 Ho 3.29
Te (0.0000, 0.0000, 0.5000)  8 Ho 3.29
Te (0.5000, 0.5000, 0.0000)  8 Ho 3.29


Entry 3:
Computed, not measured: a relaxed structure of Ho4Bi5Te at the GGA-PBE level of DFT.

Values from the calculation:
ΔE_f (raw)   -6.20 eV/f.u.
Final energy   -0.3459 Ry/atom

abc: 9.4845 9.4845 8.2887
angles: 103.11 103.11 27.22
Closest atoms and distances in Å follow each position.
Sites, in units of the cell vectors:
Ho (0.0469, 0.0469, 0.2650)  4 Bi 3.05-3.25, 2 Te 3.11
Ho (0.3424, 0.3424, 0.0561)  1 Te 3.05, 5 Bi 3.12-3.23
Ho (0.6576, 0.6576, 0.9439)  1 Te 3.05, 5 Bi 3.12-3.23
Ho (0.9531, 0.9531, 0.7350)  4 Bi 3.05-3.25, 2 Te 3.11
Bi (0.1332, 0.1332, 0.6548)  4 Ho 3.23-3.54, 2 Bi 3.34
Bi (0.2072, 0.2072, 0.2231)  4 Ho 3.05-3.19
Bi (0.5000, 0.5000, 0.5000)  4 Ho 3.21, 4 Bi 3.34
Bi (0.7928, 0.7928, 0.7769)  4 Ho 3.05-3.19
Bi (0.8668, 0.8668, 0.3452)  4 Ho 3.23-3.54, 2 Bi 3.34
Te (0.5000, 0.5000, 0.0000)  6 Ho 3.05-3.11


Entry 4:
Computed, not measured: a relaxed structure of HoBi2Te4 at the GGA-PBE level of DFT.

Values from the calculation:
ΔE_f (raw)   -3.45 eV/f.u.
Final energy   -0.2977 Ry/atom

abc: 8.1724 8.1724 14.7784
angles: 90.00 90.00 150.54
Closest atoms and distances in Å follow each position.
Sites, in units of the cell vectors:
Ho (0.1144, 0.8856, 0.7500)  6 Te 3.05-3.15
Ho (0.8856, 0.1144, 0.2500)  6 Te 3.05-3.15
Bi (0.3663, 0.6337, 0.5721)  6 Te 3.10-3.36
Bi (0.3663, 0.6337, 0.9279)  6 Te 3.10-3.36
Bi (0.6337, 0.3663, 0.0721)  6 Te 3.10-3.36
Bi (0.6337, 0.3663, 0.4279)  6 Te 3.10-3.36
Te (0.0000, 0.0000, 0.0000)  4 Bi 3.15
Te (0.0000, 0.0000, 0.5000)  4 Bi 3.15
Te (0.2939, 0.7061, 0.1231)  3 Bi 3.10-3.36, 2 Ho 3.15
Te (0.2939, 0.7061, 0.3769)  3 Bi 3.10-3.36, 2 Ho 3.15
Te (0.4732, 0.5268, 0.7500)  2 Ho 3.05, 2 Bi 3.13
Te (0.5268, 0.4732, 0.2500)  2 Ho 3.05, 2 Bi 3.13
Te (0.7061, 0.2939, 0.6231)  3 Bi 3.10-3.36, 2 Ho 3.15
Te (0.7061, 0.2939, 0.8769)  3 Bi 3.10-3.36, 2 Ho 3.15


Entry 5:
Computed, not measured: a relaxed structure of Ho2BiTe at the GGA-PBE level of DFT.

Values from the calculation:
Distance to the lowest polymorph of the same formula   53 meV/atom
ΔE_f (raw)   -4.03 eV/f.u.
Final energy   -0.3713 Ry/atom

abc: 4.3052 4.3052 22.8539
angles: 90.00 90.00 120.00
Closest atoms and distances in Å follow each position.
Sites, in units of the cell vectors:
Ho (0.0000, 0.0000, 0.0000)  3 Bi 3.06, 3 Te 3.16
Ho (0.0000, 0.0000, 0.1734)  3 Bi 3.11, 3 Te 3.19
Ho (0.3333, 0.6667, 0.6667)  3 Bi 3.06, 3 Te 3.16
Ho (0.3333, 0.6667, 0.8401)  3 Bi 3.11, 3 Te 3.19
Ho (0.6667, 0.3333, 0.3333)  3 Bi 3.06, 3 Te 3.16
Ho (0.6667, 0.3333, 0.5067)  3 Bi 3.11, 3 Te 3.19
Bi (0.0000, 0.0000, 0.5884)  6 Ho 3.06-3.11
Bi (0.3333, 0.6667, 0.2550)  6 Ho 3.06-3.11
Bi (0.6667, 0.3333, 0.9217)  6 Ho 3.06-3.11
Te (0.0000, 0.0000, 0.4190)  6 Ho 3.16-3.19
Te (0.3333, 0.6667, 0.0857)  6 Ho 3.16-3.19
Te (0.6667, 0.3333, 0.7523)  6 Ho 3.16-3.19


Entry 6:
Computed, not measured: a relaxed structure of Ho3Bi2Te at the GGA-PBE level of DFT.

Values from the calculation:
Distance to the lowest polymorph of the same formula   70 meV/atom
ΔE_f (raw)   -4.06 eV/f.u.
Final energy   -0.3515 Ry/atom

abc: 8.1821 8.1821 10.1945
angles: 90.00 90.00 149.13
Closest atoms and distances in Å follow each position.
Sites, in units of the cell vectors:
Ho (0.1418, 0.8582, 0.7500)  2 Te 3.04, 4 Bi 3.15-3.39
Ho (0.3380, 0.6620, 0.5388)  3 Te 3.21-3.45, 3 Bi 3.32-3.38
Ho (0.3380, 0.6620, 0.9612)  3 Te 3.21-3.45, 3 Bi 3.32-3.38
Ho (0.6620, 0.3380, 0.0388)  3 Te 3.21-3.45, 3 Bi 3.32-3.38
Ho (0.6620, 0.3380, 0.4612)  3 Te 3.21-3.45, 3 Bi 3.32-3.38
Ho (0.8582, 0.1418, 0.2500)  2 Te 3.04, 4 Bi 3.15-3.39
Bi (0.0000, 0.0000, 0.0000)  4 Bi 3.35, 6 Ho 3.38-3.39
Bi (0.0000, 0.0000, 0.5000)  4 Bi 3.35, 6 Ho 3.38-3.39
Bi (0.4979, 0.5021, 0.7500)  4 Ho 3.15-3.32, 4 Bi 3.35
Bi (0.5021, 0.4979, 0.2500)  4 Ho 3.15-3.32, 4 Bi 3.35
Te (0.2236, 0.7764, 0.2500)  6 Ho 3.04-3.21
Te (0.7764, 0.2236, 0.7500)  6 Ho 3.04-3.21


Entry 7:
Computed, not measured: a relaxed structure of Ho8Bi2Te at the GGA-PBE level of DFT.

Values from the calculation:
ΔE_f (raw)   -5.19 eV/f.u.
Final energy   -0.3522 Ry/atom

abc: 9.3014 9.3014 9.1705
angles: 94.30 94.30 25.33
Closest atoms and distances in Å follow each position.
Sites, in units of the cell vectors:
Ho (0.0189, 0.0189, 0.2468)  2 Te 3.05
Ho (0.2097, 0.2097, 0.3592)  2 Bi 3.26, 8 Ho 3.46-3.64
Ho (0.3346, 0.3346, 0.9645)  1 Te 2.99, 3 Bi 3.15-3.29
Ho (0.4073, 0.4073, 0.4597)  2 Bi 3.23, 7 Ho 3.39-3.56
Ho (0.5927, 0.5927, 0.5403)  2 Bi 3.23, 7 Ho 3.39-3.56
Ho (0.6654, 0.6654, 0.0355)  1 Te 2.99, 3 Bi 3.15-3.29
Ho (0.7903, 0.7903, 0.6408)  2 Bi 3.26, 8 Ho 3.46-3.64
Ho (0.9811, 0.9811, 0.7532)  2 Te 3.05
Bi (0.1731, 0.1731, 0.7748)  8 Ho 3.15-3.47
Bi (0.8269, 0.8269, 0.2252)  8 Ho 3.15-3.47
Te (0.5000, 0.5000, 0.0000)  6 Ho 2.99-3.05


Entry 8:
Computed, not measured: a relaxed structure of Ho4Bi2Te at the GGA-PBE level of DFT.

Values from the calculation:
ΔE_f (raw)   -5.67 eV/f.u.
Final energy   -0.3663 Ry/atom

abc: 8.0257 8.0257 8.0257
angles: 109.82 109.82 108.77
Closest atoms and distances in Å follow each position.
Sites, in units of the cell vectors:
Ho (0.1180, 0.2251, 0.7452)  2 Te 3.06-3.33, 4 Bi 3.12-3.31
Ho (0.1228, 0.7298, 0.7548)  2 Te 3.06-3.33, 4 Bi 3.12-3.31
Ho (0.2702, 0.0249, 0.3929)  2 Te 3.06-3.33, 4 Bi 3.12-3.31
Ho (0.4798, 0.3728, 0.2547)  2 Te 3.06-3.33, 4 Bi 3.12-3.31
Ho (0.6272, 0.8820, 0.1071)  2 Te 3.06-3.33, 4 Bi 3.12-3.31
Ho (0.6320, 0.8772, 0.6071)  2 Te 3.06-3.33, 4 Bi 3.12-3.31
Ho (0.7749, 0.5202, 0.8929)  2 Te 3.06-3.33, 4 Bi 3.12-3.31
Ho (0.9751, 0.3680, 0.2452)  2 Te 3.06-3.33, 4 Bi 3.12-3.31
Bi (0.2536, 0.6250, 0.1286)  8 Ho 3.12-3.31
Bi (0.3750, 0.5036, 0.6286)  8 Ho 3.12-3.31
Bi (0.4964, 0.1250, 0.8714)  8 Ho 3.12-3.31
Bi (0.8750, 0.7464, 0.3714)  8 Ho 3.12-3.31
Te (0.0000, 0.0000, 0.0000)  8 Ho 3.06-3.33
Te (0.7500, 0.2500, 0.5000)  8 Ho 3.06-3.33


Entry 9:
Computed, not measured: a relaxed structure of Ho4BiTe at the GGA-PBE level of DFT.

Values from the calculation:
ΔE_f (raw)   -2.60 eV/f.u.
Final energy   -0.3422 Ry/atom

abc: 6.4249 7.3521 8.8762
angles: 78.02 68.93 89.83
Closest atoms and distances in Å follow each position.
Sites, in units of the cell vectors:
Ho (0.0212, 0.0569, 0.1556)  1 Te 2.95, 1 Ho 3.15, 1 Bi 3.30
Ho (0.1768, 0.4436, 0.8442)  1 Te 2.96, 1 Ho 3.15, 1 Bi 3.30
Ho (0.2481, 0.3727, 0.2982)  2 Te 3.03-3.08, 2 Bi 3.22-3.28
Ho (0.4564, 0.8752, 0.2979)  2 Te 3.03-3.09, 2 Bi 3.22-3.28
Ho (0.5436, 0.1248, 0.7021)  2 Te 3.03-3.09, 2 Bi 3.22-3.28
Ho (0.7519, 0.6273, 0.7018)  2 Te 3.03-3.08, 2 Bi 3.22-3.28
Ho (0.8232, 0.5564, 0.1558)  1 Te 2.96, 1 Ho 3.15, 1 Bi 3.30
Ho (0.9788, 0.9431, 0.8444)  1 Te 2.95, 1 Ho 3.15, 1 Bi 3.30
Bi (0.3610, 0.7495, 0.0010)  8 Ho 3.22-3.41
Bi (0.6390, 0.2505, 0.9990)  8 Ho 3.22-3.41
Te (0.0000, 0.0000, 0.5000)  6 Ho 2.95-3.09
Te (0.5000, 0.5000, 0.5000)  6 Ho 2.96-3.08


Entry 10:
Computed, not measured: a relaxed structure of HoTl3Bi2Te6 at the GGA-PBE level of DFT.

Values from the calculation:
ΔE_f (raw)   -6.62 eV/f.u.
Final energy   -0.2751 Ry/atom

abc: 7.8636 7.8636 8.4632
angles: 98.91 98.91 120.02
Closest atoms and distances in Å follow each position.
Sites, in units of the cell vectors:
Ho (0.0000, 0.0000, 0.0000)  6 Te 3.11
Tl (0.1679, 0.8321, 0.5000)  6 Te 3.45-3.50
Tl (0.5000, 0.5000, 0.5000)  6 Te 3.45-3.51
Tl (0.8321, 0.1679, 0.5000)  6 Te 3.45-3.50
Bi (0.3339, 0.6661, 0.0000)  6 Te 3.17-3.18
Bi (0.6661, 0.3339, 0.0000)  6 Te 3.17-3.18
Te (0.0725, 0.3996, 0.2176)  1 Ho 3.11, 2 Bi 3.17-3.18, 2 Tl 3.45
Te (0.2545, 0.2545, 0.7831)  1 Ho 3.11, 2 Bi 3.17, 2 Tl 3.47
Te (0.3996, 0.0725, 0.2176)  1 Ho 3.11, 2 Bi 3.17-3.18, 2 Tl 3.45
Te (0.6004, 0.9275, 0.7824)  1 Ho 3.11, 2 Bi 3.17-3.18, 2 Tl 3.45
Te (0.7455, 0.7455, 0.2169)  1 Ho 3.11, 2 Bi 3.17, 2 Tl 3.47
Te (0.9275, 0.6004, 0.7824)  1 Ho 3.11, 2 Bi 3.17-3.18, 2 Tl 3.45


Entry 11:
Computed, not measured: a relaxed structure of Ho2Tl3BiTe6 at the GGA-PBE level of DFT.

Values from the calculation:
ΔE_f (raw)   -9.55 eV/f.u.
Final energy   -0.2973 Ry/atom

abc: 7.7794 7.7794 8.5275
angles: 98.74 98.74 120.04
Closest atoms and distances in Å follow each position.
Sites, in units of the cell vectors:
Ho (0.1670, 0.8330, 0.0000)  6 Te 3.10-3.11
Ho (0.8330, 0.1670, 0.0000)  6 Te 3.10-3.11
Tl (0.0000, 0.0000, 0.5000)  6 Te 3.44-3.50
Tl (0.3341, 0.6659, 0.5000)  6 Te 3.45-3.50
Tl (0.6659, 0.3341, 0.5000)  6 Te 3.45-3.50
Bi (0.5000, 0.5000, 0.0000)  6 Te 3.16-3.17
Te (0.0888, 0.4285, 0.7857)  2 Ho 3.10, 1 Bi 3.16, 1 Tl 3.45
Te (0.2316, 0.2316, 0.2146)  2 Ho 3.11, 1 Bi 3.17, 1 Tl 3.44
Te (0.4285, 0.0888, 0.7857)  2 Ho 3.10, 1 Bi 3.16, 1 Tl 3.45
Te (0.5715, 0.9112, 0.2143)  2 Ho 3.10, 1 Bi 3.16, 1 Tl 3.45
Te (0.7684, 0.7684, 0.7854)  2 Ho 3.11, 1 Bi 3.17, 1 Tl 3.44
Te (0.9112, 0.5715, 0.2143)  2 Ho 3.10, 1 Bi 3.16, 1 Tl 3.45


Entry 12:
Computed, not measured: a relaxed structure of Ho3Tl4BiTe8 at the GGA-PBE level of DFT.

Values from the calculation:
ΔE_f (raw)   -13.73 eV/f.u.
Final energy   -0.3029 Ry/atom

abc: 9.6449 9.6449 9.6449
angles: 55.32 55.32 55.32
Closest atoms and distances in Å follow each position.
Sites, in units of the cell vectors:
Ho (0.0000, 0.5000, 0.5000)  6 Te 3.10-3.11
Ho (0.5000, 0.0000, 0.5000)  6 Te 3.10-3.11
Ho (0.5000, 0.5000, 0.0000)  6 Te 3.10-3.11
Tl (0.0000, 0.0000, 0.5000)  6 Te 3.49-3.50
Tl (0.0000, 0.5000, 0.0000)  6 Te 3.49-3.50
Tl (0.5000, 0.0000, 0.0000)  6 Te 3.49-3.50
Tl (0.5000, 0.5000, 0.5000)  6 Te 3.44
Bi (0.0000, 0.0000, 0.0000)  6 Te 3.16
Te (0.2413, 0.2413, 0.7318)  2 Ho 3.10, 1 Bi 3.16, 1 Tl 3.44
Te (0.2413, 0.7318, 0.2413)  2 Ho 3.10, 1 Bi 3.16, 1 Tl 3.44
Te (0.2628, 0.2628, 0.2628)  3 Ho 3.11
Te (0.2682, 0.7587, 0.7587)  2 Ho 3.10, 1 Bi 3.16, 1 Tl 3.44
Te (0.7318, 0.2413, 0.2413)  2 Ho 3.10, 1 Bi 3.16, 1 Tl 3.44
Te (0.7372, 0.7372, 0.7372)  3 Ho 3.11
Te (0.7587, 0.2682, 0.7587)  2 Ho 3.10, 1 Bi 3.16, 1 Tl 3.44
Te (0.7587, 0.7587, 0.2682)  2 Ho 3.10, 1 Bi 3.16, 1 Tl 3.44


| no. | magnetization (μB/f.u.) |
| --- | --- |
| 1 | 0.00 |
| 2 | 0.00 |
| 3 | 0.00 |
| 4 | 0.00 |
| 5 | 0.03 |
| 6 | 0.00 |
| 7 | 0.79 |
| 8 | 0.00 |
| 9 | 0.00 |
| 10 | 0.00 |
| 11 | 0.00 |
| 12 | 0.00 |